The following is a DFT calculation (GGA+U) of a relaxed structure of TeWIO2. Values from VASP.

Geometry as Quantum ESPRESSO input:
```
&SYSTEM
  ibrav = 0, nat = 5, ntyp = 4
/
ATOMIC_SPECIES
I 126.90 I.upf
Te 127.60 Te.upf
O 16.00 O.upf
W 183.84 W.upf
ATOMIC_POSITIONS crystal
I 0.000 0.000 0.500
Te 0.000 0.000 0.000
O 0.000 0.500 0.000
O 0.500 0.000 0.000
W 0.500 0.500 0.500
CELL_PARAMETERS angstrom
4.166 0.000 0.000
0.000 4.166 0.000
0.000 0.000 7.395
```

Mass density: 6.08 g/cm3
Electronic total energy: -4.1261 eV/atom